[1]
Entry from Alexandria: an optimized crystal structure of NaSn2H (PBE-GGA).

Unit cell a=5.2136 b=7.3326 c=5.3845 alpha=90.00 beta=112.99 gamma=90.00
Space group P2_1/m (No. 11)
Symmetry-distinct sites (fractional):
Na1 0.0610 0.2500 0.0779 x2
Sn1 0.3496 0.0374 0.6858 x4
H1 0.3824 0.7500 0.2037 x2

Properties
* calculated total energy: -3.12 eV per atom
* magnetization: 0.00 μB/cell
* ΔE to the lowest computed polymorph: 0.0 kJ per mole of atoms
* V: 23.69 Å³ per atom

[2]
Entry from Alexandria: an optimized crystal structure of LaPmBiSb (PBE-GGA).

Unit cell a=7.9260 b=7.9260 c=7.9260 alpha=90.00 beta=90.00 gamma=90.00
Space group F-43m (No. 216)
Symmetry-distinct sites (fractional):
La1 0.0000 0.0000 0.0000 x4
Pm1 0.0000 0.0000 0.5000 x4
Bi1 0.2500 0.2500 0.7500 x4
Sb1 0.2500 0.2500 0.2500 x4

Properties
* calculated total energy: -5.26 eV per atom
* magnetization: 0.00 μB/cell
* ΔE to the lowest computed polymorph: 26.3 kJ per mole of atoms
* V: 31.12 Å³ per atom

[3]
Entry from Alexandria: an optimized crystal structure of Li2Zn8Ag3 (PBE-GGA).

Unit cell a=4.9952 b=4.9952 c=29.6105 alpha=90.00 beta=90.00 gamma=120.00
Space group R-3m (No. 166, hexagonal axes)
Symmetry-distinct sites (fractional):
Li1 0.0000 0.0000 0.1412 x6
Zn1 0.0000 0.0000 0.2252 x6
Zn2 0.0001 0.5001 0.2677 x18
Ag1 0.0000 0.0000 0.3187 x6
Ag2 0.0000 0.0000 0.5000 x3

Properties
* calculated total energy: -1.76 eV per atom
* magnetization: 0.00 μB/cell
* V: 16.41 Å³ per atom